A geometry-optimized Dy2PuPb3 structure. Source: Alexandria via LeMat-Bulk, functional PBE.

Calculated values
Calculated density (g/cm3): 11.76
E_form (eV per atom): -0.35
N(E_F) (states/eV per cell): 11.925
Electronic total energy (eV/cell): -36.7

Geometry as extended XYZ:
```
6
Lattice="3.515 0.000 0.000 0.000 3.515 0.000 0.000 0.000 13.606" Properties=species:S:1:pos:R:3 pbc="T T T"
Dy 0.000 0.000 2.254
Dy 0.000 0.000 11.352
Pu 0.000 0.000 6.803
Pb 1.758 1.758 0.000
Pb 1.758 1.758 4.486
Pb 1.758 1.758 9.120
```